1.
{
  "formula": "ZnH8SO8",
  "functional": "PBE",
  "state": "relaxed",
  "cell": [[-4.988, -2.233, -2.644], [-2.342, -3.248, 6.845], [-6.717, 11.350, 3.087]],
  "species": ["Zn", "Zn", "Zn", "Zn", "H", "H", "H", "H", "H", "H", "H", "H", "H", "H", "H", "H", "H", "H", "H", "H", "H", "H", "H", "H", "H", "H", "H", "H", "H", "H", "H", "H", "H", "H", "H", "H", "S", "S", "S", "S", "O", "O", "O", "O", "O", "O", "O", "O", "O", "O", "O", "O", "O", "O", "O", "O", "O", "O", "O", "O", "O", "O", "O", "O", "O", "O", "O", "O", "O", "O", "O", "O"],
  "frac_coords": [[0.924, 0.779, 0.104], [0.576, 0.721, 0.604], [0.076, 0.221, 0.896], [0.424, 0.279, 0.396], [0.069, 0.444, 0.099], [0.431, 0.056, 0.599], [0.931, 0.556, 0.901], [0.569, 0.944, 0.401], [0.192, 0.540, 0.186], [0.308, 0.960, 0.686], [0.808, 0.460, 0.814], [0.692, 0.040, 0.314], [0.632, 0.528, 0.084], [0.868, 0.972, 0.584], [0.368, 0.472, 0.916], [0.132, 0.028, 0.416], [0.548, 0.677, 0.013], [0.952, 0.823, 0.513], [0.452, 0.323, 0.987], [0.048, 0.177, 0.487], [0.299, 0.942, 0.085], [0.681, 0.717, 0.265], [0.701, 0.058, 0.915], [0.799, 0.442, 0.415], [0.305, 0.837, 0.186], [0.195, 0.663, 0.686], [0.695, 0.163, 0.814], [0.805, 0.337, 0.314], [0.914, 0.777, 0.308], [0.586, 0.723, 0.808], [0.086, 0.223, 0.692], [0.414, 0.277, 0.192], [0.181, 0.217, 0.235], [0.319, 0.283, 0.735], [0.819, 0.783, 0.765], [0.201, 0.558, 0.585], [0.804, 0.182, 0.109], [0.696, 0.318, 0.609], [0.196, 0.818, 0.891], [0.304, 0.682, 0.391], [0.810, 0.787, 0.251], [0.690, 0.713, 0.751], [0.190, 0.213, 0.749], [0.310, 0.287, 0.249], [0.111, 0.556, 0.124], [0.787, 0.089, 0.856], [0.287, 0.589, 0.644], [0.213, 0.911, 0.144], [0.603, 0.295, 0.096], [0.897, 0.205, 0.596], [0.397, 0.705, 0.904], [0.103, 0.795, 0.404], [0.865, 0.177, 0.215], [0.635, 0.323, 0.715], [0.135, 0.823, 0.785], [0.365, 0.677, 0.285], [0.133, 0.151, 0.426], [0.367, 0.349, 0.926], [0.867, 0.849, 0.574], [0.633, 0.651, 0.074], [0.992, 0.251, 0.051], [0.508, 0.249, 0.551], [0.008, 0.749, 0.949], [0.492, 0.751, 0.449], [0.749, 0.011, 0.071], [0.751, 0.489, 0.571], [0.251, 0.989, 0.929], [0.249, 0.511, 0.429], [0.611, 0.056, 0.376], [0.889, 0.444, 0.876], [0.389, 0.944, 0.624], [0.713, 0.411, 0.356]],
  "sg": "No. 14",
  "density_g_cm3": 2.379,
  "energy_ev_per_atom": -5.1694
}

2.
{
  "formula": "Tb2YTm2Sc2",
  "functional": "PBE",
  "state": "relaxed",
  "cell": [[3.381, 0.000, 0.000], [-1.690, 8.561, -0.449], [0.000, -3.306, 7.462]],
  "species": ["Tb", "Tb", "Y", "Tm", "Tm", "Sc", "Sc"],
  "frac_coords": [[0.572, 0.145, 0.915], [0.428, 0.855, 0.085], [0.000, 0.000, 0.500], [0.212, 0.423, 0.791], [0.788, 0.577, 0.209], [0.652, 0.305, 0.395], [0.348, 0.695, 0.605]],
  "formation_energy_ev_per_atom": 0.180,
  "sg": "No. 12",
  "density_g_cm3": 6.569,
  "energy_ev_per_atom": -5.1531
}

3.
{
  "formula": "K3Li2TlF9",
  "functional": "PBE",
  "state": "relaxed",
  "cell": [[5.871, 0.000, 0.000], [-2.935, 5.084, 0.000], [0.000, 0.000, 7.455]],
  "species": ["K", "K", "K", "Li", "Li", "Tl", "F", "F", "F", "F", "F", "F", "F", "F", "F"],
  "frac_coords": [[0.333, 0.667, 0.699], [0.000, 0.000, 0.000], [0.667, 0.333, 0.301], [0.333, 0.667, 0.162], [0.667, 0.333, 0.838], [0.000, 0.000, 0.500], [0.830, 0.170, 0.676], [0.830, 0.659, 0.676], [0.341, 0.170, 0.676], [0.659, 0.830, 0.324], [0.170, 0.341, 0.324], [0.170, 0.830, 0.324], [0.500, 0.000, 0.000], [0.000, 0.500, 0.000], [0.500, 0.500, 0.000]],
  "sg": "No. 164",
  "density_g_cm3": 3.780,
  "energy_ev_per_atom": -4.1552
}